This record from the Alexandria database describes a geometry-optimized MgTaCr2 structure. The functional is PBE-GGA.

a = 5.1721 Å, b = 5.1721 Å, c = 5.1721 Å
α = 137.61°, β = 137.61°, γ = 61.50°
Fractional coordinates of all 4 atoms:
Cr1 0.2500 0.7500 0.5000
Cr2 0.0000 0.0000 0.0000
Mg1 0.5000 0.5000 0.0000
Ta1 0.7500 0.2500 0.5000

Total energy   -30.62 eV per cell
Symmetry   I-4m2 (119)
ΔE_f   0.52 eV per atom

This record from the Alexandria database describes a geometry-optimized MgTaCr2 structure. The functional is PBE-GGA.

a = 5.1887 Å, b = 5.1887 Å, c = 4.4452 Å
α = 64.63°, β = 64.63°, γ = 34.24°
Fractional coordinates of all 4 atoms:
Cr1 0.7220 0.7220 0.7779
Cr2 0.0314 0.0314 0.9686
Mg1 0.4845 0.4845 0.5156
Ta1 0.2621 0.2621 0.2379

Total energy   -31.47 eV per cell
Symmetry   Imm2 (44)
ΔE_f   0.31 eV per atom

This record from the Alexandria database describes a geometry-optimized MgTaCr2 structure. The functional is PBE-GGA.

a = 3.1740 Å, b = 3.1720 Å, c = 6.4495 Å
α = 90.00°, β = 90.00°, γ = 90.00°
Fractional coordinates of all 4 atoms:
Mg1 0.5000 0.5000 0.2500
Cr1 0.0000 0.0000 0.9769
Cr2 0.0000 0.0000 0.5231
Ta1 0.5000 0.5000 0.7500

Total energy   -31.39 eV per cell
Symmetry   P4/mmm (123)
ΔE_f   0.33 eV per atom

This record from the Alexandria database describes a geometry-optimized MgTa2Cr structure. The functional is PBE-GGA.

a = 3.2232 Å, b = 3.2232 Å, c = 6.7301 Å
α = 90.00°, β = 90.00°, γ = 90.00°
Fractional coordinates of all 4 atoms:
Mg1 0.5000 0.5000 0.7274
Ta1 0.5000 0.5000 0.2752
Ta2 0.0000 0.0000 0.0258
Cr1 0.0000 0.0000 0.4716

Total energy   -33.77 eV per cell
Symmetry   P4mm (99)
ΔE_f   0.29 eV per atom